SrErCd | GGA-PBE | relaxed

```
SrErCd
1.0
0.000 3.780 3.780
3.780 0.000 3.780
3.780 3.780 0.000
Cd Er Sr
1 1 1
Cartesian
0.000 0.000 0.000
1.890 1.890 1.890
5.671 5.671 5.671
```

Results
Raw total energy = -6.772 eV/f.u.
Calculated density = 5.645 g/cm³
Volume = 36.0 Å³ per atom

***

TbErCd6 | GGA-PBE | relaxed

```
TbErCd6
1.0
6.575 0.000 0.000
-3.288 5.694 0.000
0.000 0.000 4.971
Cd Er Tb
6 1 1
Cartesian
1.675 0.967 0.000
4.900 0.967 0.000
3.287 3.760 0.000
3.287 0.052 2.485
4.887 2.821 2.485
1.688 2.821 2.485
0.000 0.000 2.485
0.000 3.796 0.000
```

Results
Raw total energy = -16.852 eV/f.u.
Calculated density = 8.929 g/cm³
Volume = 23.3 Å³ per atom
ΔH_f (0 K) = -28 kJ per mole of atoms

***

Er6CdTc2 | GGA-PBE | relaxed

```
Er6CdTc2
1.0
3.593 -0.997 7.568
-8.081 -2.149 1.119
3.732 -4.771 -5.872
Cd Er Tc
2 12 4
Cartesian
0.000 0.000 0.000
-2.244 -1.573 4.343
-5.188 -2.467 2.499
-1.977 -2.204 1.045
-4.348 -3.866 5.634
0.738 -2.699 3.255
-0.905 -3.850 6.433
1.245 -2.941 -0.422
-2.001 -4.976 3.236
0.148 -4.068 -3.618
-1.494 -5.218 -0.440
3.592 -4.052 -2.819
1.221 -5.714 1.770
4.432 -5.450 0.316
-1.599 -2.544 -1.747
3.140 -3.250 1.858
-3.897 -4.667 0.956
-2.750 -4.376 -3.006
```

Results
Raw total energy = -50.373 eV/f.u.
Calculated density = 9.468 g/cm³
Volume = 25.6 Å³ per atom
ΔH_f (0 K) = -15 kJ per mole of atoms

***

ErCdTc | GGA-PBE | relaxed

```
ErCdTc
1.0
0.000 3.345 3.345
3.345 0.000 3.345
3.345 3.345 0.000
Cd Er Tc
1 1 1
Cartesian
1.672 1.672 1.672
0.000 0.000 0.000
5.017 5.017 5.017
```

Results
Raw total energy = -12.836 eV/f.u.
Calculated density = 8.381 g/cm³
Volume = 24.9 Å³ per atom
ΔH_f (0 K) = 96 kJ per mole of atoms

***

Er7Cd2Te2 | GGA-PBE | relaxed

```
Er7Cd2Te2
1.0
-2.120 7.614 4.826
2.120 -7.614 4.826
2.120 7.614 -4.826
Cd Er Te
2 7 2
Cartesian
0.000 4.067 2.405
0.000 11.161 2.405
0.000 2.112 5.518
2.120 -4.832 4.321
2.120 -1.891 2.249
0.000 7.614 3.158
2.120 1.891 2.249
2.120 4.832 4.321
2.120 5.502 0.692
0.000 0.000 0.861
2.120 0.000 4.687
```

Results
Raw total energy = -45.986 eV/f.u.
Calculated density = 8.796 g/cm³
Volume = 28.3 Å³ per atom

***

ErTlCd | GGA-PBE | relaxed

```
ErTlCd
1.0
0.000 3.477 3.477
3.477 0.000 3.477
3.477 3.477 0.000
Cd Er Tl
1 1 1
Cartesian
1.738 1.738 1.738
5.215 5.215 5.215
0.000 0.000 0.000
```

Results
Raw total energy = -8.296 eV/f.u.
Calculated density = 9.562 g/cm³
Volume = 28.0 Å³ per atom

***

ErTlCd | GGA-PBE | relaxed

```
ErTlCd
1.0
3.504 -2.476 -2.620
-0.241 -5.004 -0.417
-1.178 -2.101 -4.413
Cd Er Tl
1 1 1
Cartesian
0.521 -2.395 -1.863
0.000 0.000 0.000
1.564 -7.186 -5.588
```

Results
Raw total energy = -7.545 eV/f.u.
Calculated density = 8.945 g/cm³
Volume = 30.0 Å³ per atom

***

Er5Tl3Cd | GGA-PBE | relaxed

```
Er5Tl3Cd
1.0
9.187 0.000 0.000
-4.594 7.956 0.000
0.000 0.000 6.687
Cd Er Tl
2 10 6
Cartesian
0.000 0.000 0.000
0.000 0.000 3.344
4.594 2.652 0.000
0.000 5.304 0.000
6.551 0.000 1.672
1.318 2.283 1.672
-3.276 5.673 1.672
4.594 2.652 3.344
0.000 5.304 3.344
2.636 0.000 5.015
-1.318 2.283 5.015
3.276 5.673 5.015
3.440 0.000 1.672
-1.720 2.979 1.672
2.874 4.977 1.672
5.747 0.000 5.015
1.720 2.979 5.015
-2.874 4.977 5.015
```

Results
Raw total energy = -33.740 eV/f.u.
Calculated density = 10.611 g/cm³
Volume = 27.2 Å³ per atom

***

Er2TmTl2Zn3Cd | GGA-PBE | relaxed

```
Er2TmTl2Zn3Cd
1.0
-2.615 -3.108 -1.970
5.480 -1.948 -4.201
-0.958 -3.214 6.342
Cd Er Tl Tm Zn
1 2 2 1 3
Cartesian
4.517 -5.156 2.139
2.368 -0.843 -1.812
-0.412 -1.390 2.739
2.025 -3.926 -1.666
-0.115 -4.347 1.838
2.570 -2.934 1.217
2.909 -3.053 -4.215
-0.266 -2.742 -0.492
-2.043 -4.027 3.893
```

Results
Raw total energy = -25.573 eV/f.u.
Calculated density = 10.061 g/cm³
Volume = 22.4 Å³ per atom

***

Y2ErTl2Cd4 | GGA-PBE | relaxed

```
Y2ErTl2Cd4
1.0
4.584 0.000 0.000
0.000 6.505 3.772
0.000 -6.505 3.772
Cd Er Tl Y
4 1 2 2
Cartesian
2.292 1.561 0.905
0.000 0.000 0.017
2.292 -1.561 0.905
2.292 0.000 5.738
0.000 0.000 3.218
2.292 2.156 3.767
2.292 -2.156 3.767
0.000 2.778 5.929
0.000 -2.778 5.929
```

Results
Raw total energy = -28.835 eV/f.u.
Calculated density = 8.884 g/cm³
Volume = 25.0 Å³ per atom

***

ErTmCd6 | GGA-PBE | relaxed

```
ErTmCd6
1.0
5.037 0.000 0.000
0.000 7.094 0.000
0.000 0.000 5.038
Cd Er Tm
6 1 1
Cartesian
2.518 1.777 1.234
2.518 5.318 1.234
0.000 3.547 1.281
2.518 0.000 3.757
0.000 1.776 3.804
0.000 5.318 3.804
0.000 0.000 1.282
2.518 3.547 3.755
```

Results
Raw total energy = -16.395 eV/f.u.
Calculated density = 9.323 g/cm³
Volume = 22.5 Å³ per atom
ΔH_f (0 K) = -24 kJ per mole of atoms
ΔE to the lowest computed polymorph = 20 meV/atom

***

Er2TmCd5 | GGA-PBE | relaxed

```
Er2TmCd5
1.0
-4.803 -1.108 -1.223
1.407 -6.188 0.080
-0.942 -2.342 5.822
Cd Er Tm
5 2 1
Cartesian
0.753 -4.220 0.868
-1.530 -6.762 1.590
-0.395 -2.342 3.672
-2.701 -4.845 4.453
-1.997 -7.970 4.520
-2.231 -3.685 1.555
0.300 -5.508 3.812
0.055 -1.004 0.695
```

Results
Raw total energy = -20.344 eV/f.u.
Calculated density = 9.193 g/cm³
Volume = 24.1 Å³ per atom
ΔH_f (0 K) = -27 kJ per mole of atoms

***

ErTmCd6 | GGA-PBE | relaxed

```
ErTmCd6
1.0
-0.015 0.882 -4.949
-0.001 -4.949 -0.882
-7.123 -0.003 0.021
Cd Er Tm
6 1 1
Cartesian
-0.008 -2.034 -2.916
-1.793 0.441 -2.469
-1.786 -2.475 -0.436
-3.561 -0.001 0.011
-5.345 0.439 -2.459
-5.338 -2.477 -0.425
0.000 0.000 0.000
-3.569 -2.035 -2.905
```

Results
Raw total energy = -16.395 eV/f.u.
Calculated density = 9.322 g/cm³
Volume = 22.5 Å³ per atom
ΔH_f (0 K) = -24 kJ per mole of atoms
ΔE to the lowest computed polymorph = 20 meV/atom

***

ErTmCd6 | GGA-PBE | relaxed

```
ErTmCd6
1.0
-4.460 1.782 0.350
-1.295 -4.164 4.691
1.406 2.386 5.775
Cd Er Tm
6 1 1
Cartesian
-2.768 -1.240 4.174
0.036 -0.575 3.383
-0.516 -2.471 6.000
-1.603 1.584 4.641
-2.155 -0.312 7.257
0.648 0.353 6.468
0.096 -1.544 9.094
-2.216 0.658 1.547
```

Results
Raw total energy = -16.558 eV/f.u.
Calculated density = 9.159 g/cm³
Volume = 22.9 Å³ per atom
ΔH_f (0 K) = -26 kJ per mole of atoms
ΔE to the lowest computed polymorph = 0 meV/atom

***

ErTmCd4 | GGA-PBE | relaxed

```
ErTmCd4
1.0
3.371 0.000 0.000
0.000 4.927 0.000
-0.002 0.000 8.544
Cd Er Tm
4 1 1
Cartesian
1.668 2.463 1.426
1.702 0.000 2.850
1.667 0.000 5.694
1.701 2.463 7.118
0.000 0.000 0.000
-0.001 2.463 4.272
```

Results
Raw total energy = -14.444 eV/f.u.
Calculated density = 9.197 g/cm³
Volume = 23.6 Å³ per atom
ΔH_f (0 K) = -29 kJ per mole of atoms

***

ErTmCd6 | GGA-PBE | relaxed

```
ErTmCd6
1.0
6.540 0.000 0.000
-3.270 5.664 0.000
0.000 0.000 4.957
Cd Er Tm
6 1 1
Cartesian
3.270 0.032 0.000
1.663 2.816 0.000
4.877 2.816 0.000
1.668 0.963 2.479
4.872 0.963 2.479
3.270 3.738 2.479
0.000 0.000 0.000
0.000 3.776 2.479
```

Results
Raw total energy = -16.540 eV/f.u.
Calculated density = 9.139 g/cm³
Volume = 23.0 Å³ per atom
ΔH_f (0 K) = -26 kJ per mole of atoms
ΔE to the lowest computed polymorph = 2 meV/atom

***

YErTm2Cd2 | GGA-PBE | relaxed

```
YErTm2Cd2
1.0
5.336 0.000 0.000
0.000 1.811 8.433
0.000 -1.811 8.433
Cd Er Tm Y
2 1 2 1
Cartesian
0.000 0.000 1.153
2.668 0.000 15.696
0.000 0.000 6.924
2.668 0.000 4.641
0.000 0.000 12.247
2.668 0.000 9.936
```

Results
Raw total energy = -23.154 eV/f.u.
Calculated density = 8.345 g/cm³
Volume = 27.2 Å³ per atom
ΔH_f (0 K) = -22 kJ per mole of atoms

***

ErUCd | GGA-PBE | relaxed

```
ErUCd
1.0
0.000 3.505 3.505
3.505 0.000 3.505
3.505 3.505 0.000
Cd Er U
1 1 1
Cartesian
1.752 1.752 1.752
0.000 0.000 0.000
5.257 5.257 5.257
```

Results
Raw total energy = -13.668 eV/f.u.
Calculated density = 9.983 g/cm³
Volume = 28.7 Å³ per atom
ΔH_f (0 K) = 99 kJ per mole of atoms
ΔE to the lowest computed polymorph = 0 meV/atom

***

ErCdW | GGA-PBE | relaxed

```
ErCdW
1.0
0.000 3.301 3.301
3.301 0.000 3.301
3.301 3.301 0.000
Cd Er W
1 1 1
Cartesian
0.000 0.000 0.000
1.651 1.651 1.651
4.952 4.952 4.952
```

Results
Raw total energy = -15.082 eV/f.u.
Calculated density = 10.699 g/cm³
Volume = 24.0 Å³ per atom
ΔH_f (0 K) = 107 kJ per mole of atoms
ΔE to the lowest computed polymorph = 0 meV/atom

***

ErCdW | GGA-PBE | relaxed

```
ErCdW
1.0
0.000 3.407 3.407
3.407 0.000 3.407
3.407 3.407 0.000
Cd Er W
1 1 1
Cartesian
1.703 1.703 1.703
0.000 0.000 0.000
5.110 5.110 5.110
```

Results
Raw total energy = -14.190 eV/f.u.
Calculated density = 9.732 g/cm³
Volume = 26.4 Å³ per atom
ΔH_f (0 K) = 136 kJ per mole of atoms
ΔE to the lowest computed polymorph = 297 meV/atom

***

YErCd6 | GGA-PBE | relaxed

```
YErCd6
1.0
-4.361 2.343 -0.975
-3.236 -6.329 -0.740
-1.106 -0.010 4.923
Cd Er Y
6 1 1
Cartesian
-3.252 -0.395 0.540
-4.888 -3.596 0.165
-1.898 -3.167 0.876
-3.006 1.164 3.188
-1.634 -1.572 3.531
-3.270 -4.773 3.156
-0.281 -0.003 1.250
-4.624 -2.001 2.817
```

Results
Raw total energy = -18.587 eV/f.u.
Calculated density = 8.493 g/cm³
Volume = 22.7 Å³ per atom
ΔH_f (0 K) = -26 kJ per mole of atoms
ΔE to the lowest computed polymorph = 16 meV/atom

***

YErCd6 | GGA-PBE | relaxed

```
YErCd6
1.0
-2.500 -3.141 3.056
4.373 -1.556 1.978
-0.409 5.140 4.949
Cd Er Y
6 1 1
Cartesian
0.000 0.000 0.000
-1.354 -0.273 2.777
2.083 0.519 2.239
0.732 0.221 4.992
-1.556 2.272 5.227
1.881 3.064 4.689
-0.205 2.570 2.474
0.936 -2.349 2.517
```

Results
Raw total energy = -18.588 eV/f.u.
Calculated density = 8.493 g/cm³
Volume = 22.7 Å³ per atom
ΔH_f (0 K) = -26 kJ per mole of atoms
ΔE to the lowest computed polymorph = 16 meV/atom

***

YErCd4 | GGA-PBE | relaxed

```
YErCd4
1.0
-2.034 -2.584 -0.858
3.885 -2.462 -1.796
1.290 -3.554 7.666
Cd Er Y
4 1 1
Cartesian
1.152 -3.100 -0.046
-0.599 -2.491 2.121
-0.145 -3.647 4.688
1.990 -5.501 5.059
0.000 0.000 0.000
2.588 -3.008 2.935
```

Results
Raw total energy = -16.576 eV/f.u.
Calculated density = 8.170 g/cm³
Volume = 23.9 Å³ per atom
ΔH_f (0 K) = -32 kJ per mole of atoms

***

YErCd6 | GGA-PBE | relaxed

```
YErCd6
1.0
-2.956 -2.525 2.871
4.185 -4.886 0.013
4.278 0.432 4.786
Cd Er Y
6 1 1
Cartesian
1.921 -4.207 2.346
2.745 -1.445 1.556
5.021 -3.792 1.835
1.961 -1.917 4.402
4.249 -4.277 4.683
5.061 -1.514 3.881
7.337 -3.861 4.160
-0.354 -1.854 2.073
```

Results
Raw total energy = -18.719 eV/f.u.
Calculated density = 8.363 g/cm³
Volume = 23.1 Å³ per atom
ΔH_f (0 K) = -28 kJ per mole of atoms
ΔE to the lowest computed polymorph = 0 meV/atom

***

ErZnCd | GGA-PBE | relaxed

```
ErZnCd
1.0
0.000 3.401 3.401
3.401 0.000 3.401
3.401 3.401 0.000
Cd Er Zn
1 1 1
Cartesian
1.700 1.700 1.700
0.000 0.000 0.000
5.101 5.101 5.101
```

Results
Raw total energy = -6.080 eV/f.u.
Calculated density = 7.283 g/cm³
Volume = 26.2 Å³ per atom
ΔH_f (0 K) = 21 kJ per mole of atoms

***

ErZnCd | GGA-PBE | relaxed

```
ErZnCd
1.0
1.194 -3.537 -2.741
-1.395 -4.296 1.023
-3.201 -2.081 -2.622
Cd Er Zn
1 1 1
Cartesian
-0.850 -2.479 -1.085
-2.551 -7.436 -3.254
0.000 0.000 0.000
```

Results
Raw total energy = -7.202 eV/f.u.
Calculated density = 8.158 g/cm³
Volume = 23.4 Å³ per atom
ΔH_f (0 K) = -15 kJ per mole of atoms